DFT (PBE) results for a geometry-optimized Cu2Pd13 structure.

electronic total energy	-5.064	eV per atom
magnetic moment	0.03	μB/f.u.
volume	15.1	Å³ per atom
ΔH_f (0 K)	-0.0175	eV per atom

```
data_Cu2Pd13
_cell_length_a 4.814
_cell_length_b 6.783
_cell_length_c 7.322
_cell_angle_alpha 71.91
_cell_angle_beta 83.85
_cell_angle_gamma 89.84
_symmetry_space_group_name_H-M 'P -1'
_symmetry_Int_Tables_number 2
_symmetry_space_group_name_Hall '-P 1'
loop_
_atom_site_label
_atom_site_type_symbol
_atom_site_fract_x
_atom_site_fract_y
_atom_site_fract_z
Cu1 Cu 0.068 0.133 0.100
Pd1 Pd 0.000 0.000 0.500
Pd2 Pd 0.132 0.259 0.708
Pd3 Pd 0.199 0.398 0.299
Pd4 Pd 0.263 0.532 0.901
Pd5 Pd 0.334 0.667 0.498
Pd6 Pd 0.393 0.804 0.096
Pd7 Pd 0.467 0.932 0.703
```

DFT (PBE) results for a geometry-optimized TlAgS structure.

electronic total energy	-3.190	eV per atom
magnetic moment	0.00	μB/f.u.
volume	28.2	Å³ per atom
formation energy (no corrections)	-0.07	eV per atom

```
data_TlAgS
_cell_length_a 4.326
_cell_length_b 5.712
_cell_length_c 13.698
_cell_angle_alpha 90.00
_cell_angle_beta 90.00
_cell_angle_gamma 90.00
_symmetry_space_group_name_H-M 'I m m a'
_symmetry_Int_Tables_number 74
_symmetry_space_group_name_Hall '-I 2b 2'
loop_
_atom_site_label
_atom_site_type_symbol
_atom_site_fract_x
_atom_site_fract_y
_atom_site_fract_z
Tl1 Tl 0.000 0.250 0.076
Ag1 Ag 0.000 0.250 0.813
S1 S 0.000 0.250 0.601
```